[1]
This record from Alexandria via LeMat-Bulk describes a geometry-optimized Na3Er2ZrS6 structure. The functional is GGA-PBE.

a = 6.6839 Å, b = 6.6839 Å, c = 7.0818 Å
α = 99.07°, β = 99.07°, γ = 119.99°
Fractional coordinates of all 12 atoms:
Na 0.0000 0.0000 0.0000
Na 0.3318 0.6682 0.0000
Na 0.6682 0.3318 0.0000
Er 0.1666 0.8334 0.5000
Er 0.8334 0.1666 0.5000
Zr 0.5000 0.5000 0.5000
S 0.1011 0.4247 0.2743
S 0.2518 0.2518 0.7252
S 0.4247 0.1011 0.2743
S 0.5753 0.8989 0.7257
S 0.7482 0.7482 0.2748
S 0.8989 0.5753 0.7257

Computed properties:
**Calculated density**: 4.4 Mg/m³
**Size of the total moment**: 0.0 μB/f.u.
**Density of states at the Fermi level**: 4.0 states/eV per cell
**Symmetry**: C2/m (12)
**E_form (uncorrected)**: -1.70 eV/atom

---

[2]
This record from Alexandria via LeMat-Bulk describes a geometry-optimized Ba2TaRu structure. The functional is GGA-PBE.

a = 5.4872 Å, b = 5.4872 Å, c = 5.4872 Å
α = 60.00°, β = 60.00°, γ = 60.00°
Fractional coordinates of all 4 atoms:
Ba 0.2500 0.2500 0.2500
Ba 0.7500 0.7500 0.7500
Ta 0.0000 0.0000 0.0000
Ru 0.5000 0.5000 0.5000

Computed properties:
**Calculated density**: 7.9 Mg/m³
**Calculated formation energy**: 5.7 eV per formula unit
**Size of the total moment**: 2.8 μB/f.u.
**Density of states at the Fermi level**: 6.2 states/eV per cell
**Symmetry**: Fm-3m (225)

---

[3]
This record from Alexandria via LeMat-Bulk describes a geometry-optimized Tb12DyEr7 structure. The functional is GGA-PBE.

a = 10.8970 Å, b = 10.8970 Å, c = 10.8970 Å
α = 115.98°, β = 115.98°, γ = 115.98°
Fractional coordinates of all 20 atoms:
Tb 0.0675 0.4894 0.2793
Tb 0.2076 0.2714 0.7477
Tb 0.2523 0.7924 0.7286
Tb 0.2714 0.7477 0.2076
Tb 0.2793 0.0675 0.4894
Tb 0.4894 0.2793 0.0675
Tb 0.5106 0.7207 0.9325
Tb 0.7207 0.9325 0.5106
Tb 0.7286 0.2523 0.7924
Tb 0.7477 0.2076 0.2714
Tb 0.7924 0.7286 0.2523
Tb 0.9325 0.5106 0.7207
Dy 0.0000 0.0000 0.0000
Er 0.0761 0.2174 0.3796
Er 0.2174 0.3796 0.0761
Er 0.3796 0.0761 0.2174
Er 0.5000 0.5000 0.5000
Er 0.6204 0.9239 0.7826
Er 0.7826 0.6204 0.9239
Er 0.9239 0.7826 0.6204

Computed properties:
**Calculated density**: 8.2 Mg/m³
**Calculated formation energy**: 6.5 eV per formula unit
**Size of the total moment**: 0.0 μB/f.u.
**Density of states at the Fermi level**: 25.7 states/eV per cell
**Symmetry**: R-3 (148)

---

[4]
This record from Alexandria via LeMat-Bulk describes a geometry-optimized Ca2TcRh structure. The functional is GGA-PBE.

a = 9.4121 Å, b = 9.4121 Å, c = 9.4121 Å
α = 19.49°, β = 19.49°, γ = 19.49°
Fractional coordinates of all 4 atoms:
Ca 0.2455 0.2455 0.2455
Ca 0.7545 0.7545 0.7545
Tc 0.0000 0.0000 0.0000
Rh 0.5000 0.5000 0.5000

Computed properties:
**Calculated density**: 5.7 Mg/m³
**Calculated formation energy**: 1.7 eV per formula unit
**Size of the total moment**: 1.2 μB/f.u.
**Density of states at the Fermi level**: 4.0 states/eV per cell
**Symmetry**: R-3m (166)

---

[5]
This record from Alexandria via LeMat-Bulk describes a geometry-optimized Er3Sc2Ag2 structure. The functional is GGA-PBE.

a = 6.6477 Å, b = 6.6477 Å, c = 8.7751 Å
α = 114.51°, β = 114.51°, γ = 30.72°
Fractional coordinates of all 7 atoms:
Er 0.0000 0.0000 0.0000
Er 0.1081 0.1081 0.4444
Er 0.8919 0.8919 0.5556
Sc 0.3579 0.3579 0.1856
Sc 0.6421 0.6421 0.8144
Ag 0.3154 0.3154 0.7792
Ag 0.6846 0.6846 0.2208

Computed properties:
**Calculated density**: 7.5 Mg/m³
**Calculated formation energy**: -0.7 eV per formula unit
**Size of the total moment**: 0.0 μB/f.u.
**Density of states at the Fermi level**: 11.4 states/eV per cell
**Symmetry**: C2/m (12)

---

[6]
This record from Alexandria via LeMat-Bulk describes a geometry-optimized Dy12Y7Tm structure. The functional is GGA-PBE.

a = 9.7367 Å, b = 9.7367 Å, c = 9.7367 Å
α = 109.47°, β = 109.47°, γ = 109.47°
Fractional coordinates of all 20 atoms:
Dy 0.0000 0.2458 0.7542
Dy 0.0000 0.7542 0.2458
Dy 0.2458 0.0000 0.7542
Dy 0.2458 0.2458 0.4917
Dy 0.2458 0.4917 0.2458
Dy 0.2458 0.7542 0.0000
Dy 0.4917 0.2458 0.2458
Dy 0.5083 0.7542 0.7542
Dy 0.7542 0.0000 0.2458
Dy 0.7542 0.2458 0.0000
Dy 0.7542 0.5083 0.7542
Dy 0.7542 0.7542 0.5083
Y 0.0000 0.0000 0.5000
Y 0.0000 0.5000 0.0000
Y 0.0000 0.5000 0.5000
Y 0.5000 0.0000 0.0000
Y 0.5000 0.0000 0.5000
Y 0.5000 0.5000 0.0000
Y 0.5000 0.5000 0.5000
Tm 0.0000 0.0000 0.0000

Computed properties:
**Calculated density**: 6.4 Mg/m³
**Calculated formation energy**: 14.7 eV per formula unit
**Size of the total moment**: 0.0 μB/f.u.
**Density of states at the Fermi level**: 24.3 states/eV per cell
**Symmetry**: Im-3m (229)

---

[7]
This record from Alexandria via LeMat-Bulk describes a geometry-optimized Pm12NdHo7 structure. The functional is GGA-PBE.

a = 8.8464 Å, b = 8.8464 Å, c = 8.8464 Å
α = 98.32°, β = 98.32°, γ = 98.32°
Fractional coordinates of all 20 atoms:
Pm 0.0000 0.2622 0.7378
Pm 0.0000 0.7378 0.2622
Pm 0.1421 0.1421 0.4091
Pm 0.1421 0.4091 0.1421
Pm 0.2622 0.0000 0.7378
Pm 0.2622 0.7378 0.0000
Pm 0.4091 0.1421 0.1421
Pm 0.5909 0.8579 0.8579
Pm 0.7378 0.0000 0.2622
Pm 0.7378 0.2622 0.0000
Pm 0.8579 0.5909 0.8579
Pm 0.8579 0.8579 0.5909
Nd 0.5000 0.5000 0.5000
Ho 0.0000 0.0000 0.0000
Ho 0.1601 0.5966 0.5966
Ho 0.4034 0.4034 0.8399
Ho 0.4034 0.8399 0.4034
Ho 0.5966 0.1601 0.5966
Ho 0.5966 0.5966 0.1601
Ho 0.8399 0.4034 0.4034

Computed properties:
**Calculated density**: 7.6 Mg/m³
**Calculated formation energy**: 2.0 eV per formula unit
**Size of the total moment**: 0.0 μB/f.u.
**Density of states at the Fermi level**: 37.9 states/eV per cell
**Symmetry**: R-3m (166)

---

[8]
This record from Alexandria via LeMat-Bulk describes a geometry-optimized TcTeF3 structure. The functional is GGA-PBE.

a = 4.2389 Å, b = 4.2389 Å, c = 4.2389 Å
α = 90.00°, β = 90.00°, γ = 90.00°
Fractional coordinates of all 5 atoms:
Tc 0.0000 0.0000 0.0000
Te 0.5000 0.5000 0.5000
F 0.0000 0.0000 0.5000
F 0.0000 0.5000 0.0000
F 0.5000 0.0000 0.0000

Computed properties:
**Calculated density**: 6.2 Mg/m³
**Size of the total moment**: 0.0 μB/f.u.
**Density of states at the Fermi level**: 10.8 states/eV per cell
**Symmetry**: Pm-3m (221)
**E_form (uncorrected)**: -0.65 eV/atom

---

[9]
This record from Alexandria via LeMat-Bulk describes a geometry-optimized PrThPb structure. The functional is GGA-PBE.

a = 6.0081 Å, b = 6.0081 Å, c = 6.0081 Å
α = 138.57°, β = 138.57°, γ = 60.04°
Fractional coordinates of all 3 atoms:
Pr 0.0000 0.0000 0.0000
Th 0.6912 0.6912 0.0000
Pb 0.3464 0.3464 0.0000

Computed properties:
**Calculated density**: 10.2 Mg/m³
**Calculated formation energy**: -0.7 eV per formula unit
**Size of the total moment**: 0.0 μB/f.u.
**Density of states at the Fermi level**: 3.1 states/eV per cell
**Symmetry**: I4mm (107)

---

[10]
This record from Alexandria via LeMat-Bulk describes a geometry-optimized TbYHo2Te6 structure. The functional is GGA-PBE.

a = 8.3056 Å, b = 8.3056 Å, c = 8.3056 Å
α = 55.14°, β = 55.14°, γ = 55.14°
Fractional coordinates of all 10 atoms:
Tb 0.0000 0.0000 0.0000
Y 0.5000 0.5000 0.5000
Ho 0.1857 0.1857 0.1857
Ho 0.6857 0.6857 0.6857
Te 0.0903 0.7812 0.4097
Te 0.2817 0.5899 0.9088
Te 0.4097 0.0903 0.7812
Te 0.5899 0.9088 0.2817
Te 0.7812 0.4097 0.0903
Te 0.9088 0.2817 0.5899

Computed properties:
**Calculated density**: 6.2 Mg/m³
**Size of the total moment**: 0.0 μB/f.u.
**Symmetry**: R3 (146)
**E_form (uncorrected)**: -1.37 eV/atom

---

[11]
This record from Alexandria via LeMat-Bulk describes a geometry-optimized TcNiGe2Pd structure. The functional is GGA-PBE.

a = 4.6892 Å, b = 4.6892 Å, c = 4.9146 Å
α = 90.00°, β = 90.00°, γ = 90.00°
Fractional coordinates of all 5 atoms:
Tc 0.0000 0.0000 0.0000
Ni 0.5000 0.5000 0.5000
Ge 0.0000 0.5000 0.0000
Ge 0.5000 0.0000 0.0000
Pd 0.0000 0.0000 0.5000

Computed properties:
**Calculated density**: 6.3 Mg/m³
**Calculated formation energy**: 4.9 eV per formula unit
**Size of the total moment**: 1.0 μB/f.u.
**Density of states at the Fermi level**: 11.1 states/eV per cell
**Symmetry**: P4/mmm (123)